Version i
# CuAu5 (GGA-PBEsol, optimized geometry)
data_CuAu5
_chemical_formula_sum 'Cu2 Au10'
_cell_length_a 10.630
_cell_length_b 2.852
_cell_length_c 6.713
_cell_angle_alpha 90.00
_cell_angle_beta 107.54
_cell_angle_gamma 90.00
_symmetry_space_group_name_H-M 'C 1 m 1'
_symmetry_Int_Tables_number 8
loop_
_symmetry_equiv_pos_as_xyz
'x,y,z'
'x,-y,z'
'x+1/2,y+1/2,z'
'x+1/2,-y+1/2,z'
loop_
_atom_site_label
_atom_site_type_symbol
_atom_site_fract_x
_atom_site_fract_y
_atom_site_fract_z
Cu1 Cu 0.000 0.000 0.000
Au1 Au 0.124 0.500 0.778
Au2 Au 0.164 0.500 0.313
Au3 Au 0.311 0.000 0.089
Au4 Au 0.335 0.000 0.676
Au5 Au 0.468 0.500 0.430
# Total moment: 0.000 μB per cell
# Crystal system: monoclinic

Version ii
# CuAu5 (GGA-PBEsol, optimized geometry)
data_CuAu5
_chemical_formula_sum 'Cu1 Au5'
_cell_length_a 2.853
_cell_length_b 2.853
_cell_length_c 11.840
_cell_angle_alpha 90.00
_cell_angle_beta 90.00
_cell_angle_gamma 90.00
_symmetry_space_group_name_H-M 'P 4/m m m'
_symmetry_Int_Tables_number 123
_symmetry_space_group_name_Hall '-P 4 2'
loop_
_atom_site_label
_atom_site_type_symbol
_atom_site_fract_x
_atom_site_fract_y
_atom_site_fract_z
Cu1 Cu 0.000 0.000 0.000
Au1 Au 0.000 0.000 0.324
Au2 Au 0.500 0.500 0.147
Au3 Au 0.500 0.500 0.500
# Total moment: 0.000 μB per cell
# Crystal system: tetragonal

Version iii
# CuAu5 (GGA-PBEsol, optimized geometry)
data_CuAu5
_chemical_formula_sum 'Cu2 Au10'
_cell_length_a 3.956
_cell_length_b 12.052
_cell_length_c 4.062
_cell_angle_alpha 90.00
_cell_angle_beta 90.00
_cell_angle_gamma 90.00
_symmetry_space_group_name_H-M 'C m m m'
_symmetry_Int_Tables_number 65
_symmetry_space_group_name_Hall '-C 2 2'
loop_
_atom_site_label
_atom_site_type_symbol
_atom_site_fract_x
_atom_site_fract_y
_atom_site_fract_z
Cu1 Cu 0.000 0.000 0.000
Au1 Au 0.000 0.164 0.500
Au2 Au 0.000 0.339 0.000
Au3 Au 0.000 0.500 0.500
# Total moment: 0.000 μB per cell
# Crystal system: orthorhombic

Result of the stability comparison: version i is the least stable of them.